#P
{
  "formula": "HfUSi",
  "functional": "GGA-PBE",
  "state": "optimized geometry",
  "vol_a3_per_atom": 22.2,
  "magmom_total_mub_per_atom": 1.021,
  "lattice": [[0.0000, 3.2170, 3.2170], [3.2170, 0.0000, 3.2170], [3.2170, 3.2170, 0.0000]],
  "species": ["Hf", "U", "Si"],
  "fractional_positions": [[0.0000, 0.0000, 0.0000], [0.5000, 0.5000, 0.5000], [0.2500, 0.2500, 0.2500]]
}

#Q
{
  "formula": "HfUSi",
  "functional": "GGA-PBE",
  "state": "optimized geometry",
  "vol_a3_per_atom": 24.3,
  "magmom_total_mub_per_atom": 1.077,
  "lattice": [[0.0000, 3.3143, 3.3143], [3.3143, 0.0000, 3.3143], [3.3143, 3.3143, 0.0000]],
  "species": ["Hf", "U", "Si"],
  "fractional_positions": [[0.0000, 0.0000, 0.0000], [0.7500, 0.7500, 0.7500], [0.5000, 0.5000, 0.5000]]
}

Pick #P: it beats the second-best structure by 808 meV per atom.

#P
{
  "formula": "HfSi2W2",
  "functional": "GGA-PBE",
  "state": "optimized geometry",
  "vol_a3_per_atom": 16.6,
  "magmom_total_mub_per_atom": 0.001,
  "lattice": [[-1.9410, 1.9410, 5.4929], [1.9410, -1.9410, 5.4929], [1.9410, 1.9410, -5.4929]],
  "species": ["Hf", "Si", "Si", "W", "W"],
  "fractional_positions": [[0.0000, 0.0000, 0.0000], [0.3972, 0.3972, 0.0000], [0.6028, 0.6028, 0.0000], [0.2500, 0.7500, 0.5000], [0.7500, 0.2500, 0.5000]]
}

#Q
{
  "formula": "HfSi2W2",
  "functional": "GGA-PBE",
  "state": "optimized geometry",
  "vol_a3_per_atom": 15.7,
  "magmom_total_mub_per_atom": 0.000,
  "lattice": [[6.9435, 0.0000, 0.0000], [0.0000, 6.9435, 0.0000], [0.0000, 0.0000, 3.2467]],
  "species": ["Hf", "Hf", "Si", "Si", "Si", "Si", "W", "W", "W", "W"],
  "fractional_positions": [[0.0000, 0.0000, 0.0000], [0.5000, 0.5000, 0.0000], [0.1346, 0.3654, 0.0000], [0.3654, 0.8654, 0.0000], [0.6346, 0.1346, 0.0000], [0.8654, 0.6346, 0.0000], [0.1543, 0.6543, 0.5000], [0.3457, 0.1543, 0.5000], [0.6543, 0.8457, 0.5000], [0.8457, 0.3457, 0.5000]]
}

Pick #Q: it beats the second-best structure by 75 meV per atom.